1.
Computed, not measured: a relaxed Ca2BeTl crystal at the GGA-PBE level of DFT.

Output
Energy above the most stable polymorph in this dataset ... 0.000 eV/atom
Energy relative to the elements ... -0.008 eV/atom
Symmetry ... Pm, No. 6

Structure (POSCAR):
```
Ca2BeTl
1.0
4.050 0.000 0.000
0.000 4.578 0.000
-2.023 0.000 5.833
Ca Be Tl
2 1 1
Direct
0.000 0.000 0.000 Ca
0.299 0.500 0.598 Ca
0.709 0.000 0.417 Be
0.588 0.500 0.177 Tl
```


2.
Computed, not measured: a relaxed Ba5C crystal at the GGA-PBE level of DFT.

Output
Energy above the most stable polymorph in this dataset ... 0.153 eV/atom
Energy relative to the elements ... 0.495 eV/atom
Symmetry ... Amm2, No. 38

Structure (POSCAR):
```
Ba5C
1.0
4.133 0.000 0.000
0.000 1.981 18.293
0.000 -1.981 18.293
Ba C
5 1
Direct
0.000 0.000 0.000 Ba
0.000 0.196 0.196 Ba
0.500 0.112 0.112 Ba
0.500 0.404 0.404 Ba
0.500 0.800 0.800 Ba
0.000 0.642 0.642 C
```


3.
Computed, not measured: a relaxed AcTb5Sm crystal at the GGA-PBE level of DFT.

Output
Energy relative to the elements ... 0.096 eV/atom
Symmetry ... C2/c, No. 15

Structure (POSCAR):
```
AcTb5Sm
1.0
4.475 -4.955 0.000
4.475 4.955 0.000
-3.929 0.000 10.909
Ac Tb Sm
2 10 2
Direct
0.000 0.500 0.000 Ac
0.500 0.000 0.500 Ac
0.065 0.273 0.535 Tb
0.074 0.926 0.250 Tb
0.273 0.065 0.035 Tb
0.297 0.448 0.332 Tb
0.448 0.297 0.832 Tb
0.552 0.703 0.168 Tb
0.703 0.552 0.668 Tb
0.727 0.935 0.965 Tb
0.926 0.074 0.750 Tb
0.935 0.727 0.465 Tb
0.266 0.734 0.750 Sm
0.734 0.266 0.250 Sm
```


4.
Computed, not measured: a relaxed AcTmCdOs crystal at the GGA-PBE level of DFT.

Output
Energy relative to the elements ... 0.007 eV/atom
Symmetry ... F-43m, No. 216

Structure (POSCAR):
```
AcTmCdOs
1.0
0.000 3.688 3.688
3.688 0.000 3.688
3.688 3.688 0.000
Ac Tm Cd Os
1 1 1 1
Direct
0.000 0.000 0.000 Ac
0.500 0.500 0.500 Tm
0.750 0.750 0.750 Cd
0.250 0.250 0.250 Os
```